The following is a DFT calculation (PBE+U) of an optimized crystal structure of KCrGa2F.

Results
Calculated total energy in eV/atom: -2.461

```
5
Lattice="6.2589 0.0000 0.0000 0.0000 6.2589 0.0000 0.0000 0.0000 5.9701" Properties=species:S:1:pos:R:3 pbc="T T T"
K 0.0000 0.0000 0.0000
Cr 0.0000 0.0000 2.9850
Ga 0.0000 3.1294 0.0000
Ga 3.1294 0.0000 0.0000
F 3.1294 3.1294 2.9850
```